# 1
{
  "formula": "YTmNi2Sn4",
  "functional": "GGA-PBE",
  "state": "optimized geometry",
  "cell": [[4.402, 0.000, 0.000], [0.000, 2.118, 9.428], [0.000, -2.118, 9.428]],
  "species": ["Ni", "Ni", "Sn", "Sn", "Sn", "Sn", "Tm", "Y"],
  "frac_coords": [[0.000, 0.325, 0.325], [0.500, 0.675, 0.675], [0.500, 0.252, 0.252], [0.000, 0.454, 0.454], [0.500, 0.546, 0.546], [0.000, 0.747, 0.747], [0.000, 0.111, 0.111], [0.500, 0.890, 0.890]],
  "total_energy_ev_per_atom": -5.23
}

=====

# 2
{
  "formula": "CoB2Pd",
  "functional": "GGA-PBE",
  "state": "optimized geometry",
  "cell": [[0.000, 2.704, 2.704], [2.704, 0.000, 2.704], [2.704, 2.704, 0.000]],
  "species": ["B", "B", "Co", "Pd"],
  "frac_coords": [[0.000, 0.000, 0.000], [0.750, 0.750, 0.750], [0.250, 0.250, 0.250], [0.500, 0.500, 0.500]],
  "total_energy_ev_per_atom": -5.44
}

=====

# 3
{
  "formula": "CsSmBe",
  "functional": "GGA-PBE",
  "state": "optimized geometry",
  "cell": [[2.544, 1.469, 4.154], [-2.544, 1.469, 4.154], [0.000, -2.937, 4.154]],
  "species": ["Be", "Cs", "Sm"],
  "frac_coords": [[0.750, 0.750, 0.750], [0.000, 0.000, 0.000], [0.250, 0.250, 0.250]],
  "total_energy_ev_per_atom": -1.59
}

=====

# 4
{
  "formula": "KSmNi",
  "functional": "GGA-PBE",
  "state": "optimized geometry",
  "cell": [[3.425, -3.178, 1.520], [-0.291, -4.731, -1.293], [3.213, -1.871, -3.212]],
  "species": ["K", "Ni", "Sm"],
  "frac_coords": [[0.250, 0.250, 0.250], [0.750, 0.750, 0.750], [0.000, 0.000, 0.000]],
  "total_energy_ev_per_atom": -2.93
}

=====

# 5
{
  "formula": "MgAlFeTc",
  "functional": "GGA-PBE",
  "state": "optimized geometry",
  "cell": [[0.000, 3.038, 3.038], [3.038, 0.000, 3.038], [3.038, 3.038, 0.000]],
  "species": ["Al", "Fe", "Mg", "Tc"],
  "frac_coords": [[0.000, 0.000, 0.000], [0.750, 0.750, 0.750], [0.250, 0.250, 0.250], [0.500, 0.500, 0.500]],
  "total_energy_ev_per_atom": -5.92
}

=====

# 6
{
  "formula": "Sr2LaHg3PdAu2",
  "functional": "GGA-PBE",
  "state": "optimized geometry",
  "cell": [[-1.557, -3.254, 1.954], [5.110, 1.264, 6.175], [-7.328, 3.486, -0.033]],
  "species": ["Au", "Au", "Hg", "Hg", "Hg", "La", "Pd", "Sr", "Sr"],
  "frac_coords": [[0.500, 0.660, 0.335], [0.500, 0.335, 0.660], [0.500, 0.997, 0.255], [0.500, 0.749, 0.749], [0.500, 0.255, 0.997], [0.000, 0.391, 0.391], [0.000, 0.008, 0.008], [0.000, 0.605, 0.000], [0.000, 0.000, 0.605]],
  "total_energy_ev_per_atom": -2.97
}

=====

# 7
{
  "formula": "ErLu2In3CuPd2",
  "functional": "GGA-PBE",
  "state": "optimized geometry",
  "cell": [[3.695, 0.000, 0.000], [0.000, 6.657, 3.823], [0.000, -6.657, 3.823]],
  "species": ["Cu", "Er", "In", "In", "In", "Lu", "Lu", "Pd", "Pd"],
  "frac_coords": [[0.000, 0.999, 0.999], [0.000, 0.410, 0.410], [0.500, 0.000, 0.257], [0.500, 0.742, 0.742], [0.500, 0.257, 0.000], [0.000, 0.591, 0.000], [0.000, 0.000, 0.591], [0.500, 0.669, 0.332], [0.500, 0.332, 0.669]],
  "total_energy_ev_per_atom": -4.68
}

=====

# 8
{
  "formula": "SrZrS3",
  "functional": "GGA-PBE",
  "state": "optimized geometry",
  "cell": [[-4.630, 5.449, 0.660], [-7.467, -6.380, 0.285], [0.552, -0.346, 6.730]],
  "species": ["S", "S", "S", "S", "S", "S", "S", "S", "S", "S", "S", "S", "Sr", "Sr", "Sr", "Sr", "Zr", "Zr", "Zr", "Zr"],
  "frac_coords": [[0.520, 0.750, 0.098], [0.804, 0.051, 0.191], [0.804, 0.449, 0.191], [0.304, 0.051, 0.309], [0.304, 0.449, 0.309], [0.020, 0.750, 0.402], [0.980, 0.250, 0.598], [0.696, 0.551, 0.691], [0.696, 0.949, 0.691], [0.196, 0.551, 0.809], [0.196, 0.949, 0.809], [0.480, 0.250, 0.902], [0.081, 0.250, 0.025], [0.581, 0.250, 0.475], [0.419, 0.750, 0.525], [0.919, 0.750, 0.975], [0.500, 0.000, 0.000], [0.500, 0.500, 0.000], [0.000, 0.000, 0.500], [0.000, 0.500, 0.500]],
  "total_energy_ev_per_atom": -6.30
}

=====

# 9
{
  "formula": "TbGdPt",
  "functional": "GGA-PBE",
  "state": "optimized geometry",
  "cell": [[-4.395, 0.460, 1.799], [-3.455, 1.987, -2.622], [-3.562, -2.690, -1.686]],
  "species": ["Gd", "Pt", "Tb"],
  "frac_coords": [[0.000, 0.000, 0.000], [0.250, 0.250, 0.250], [0.750, 0.750, 0.750]],
  "e_form_ev_per_fu": -0.3
}

=====

# 10
{
  "formula": "CuTe5Os3",
  "functional": "GGA-PBE",
  "state": "optimized geometry",
  "cell": [[-4.636, 3.607, 0.483], [0.691, -4.438, 3.816], [4.084, 4.629, 4.644]],
  "species": ["Cu", "Os", "Os", "Os", "Te", "Te", "Te", "Te", "Te"],
  "frac_coords": [[0.000, 0.000, 0.000], [0.500, 0.000, 0.500], [0.000, 0.500, 0.500], [0.500, 0.500, 0.500], [0.667, 0.333, 0.236], [0.333, 0.667, 0.236], [0.000, 0.000, 0.500], [0.667, 0.333, 0.764], [0.333, 0.667, 0.764]],
  "total_energy_ev_per_atom": -5.35
}

=====

# 11
{
  "formula": "Li3TcO4",
  "functional": "GGA-PBE",
  "state": "optimized geometry",
  "cell": [[4.918, 0.000, 0.000], [0.000, 11.951, 0.000], [-1.496, 0.000, 4.853]],
  "species": ["Li", "Li", "Li", "Li", "Li", "Li", "Li", "Li", "Li", "Li", "Li", "Li", "O", "O", "O", "O", "O", "O", "O", "O", "O", "O", "O", "O", "O", "O", "O", "O", "Tc", "Tc", "Tc", "Tc"],
  "frac_coords": [[0.500, 0.401, 0.000], [0.000, 0.494, 0.000], [0.500, 0.602, 0.000], [0.500, 0.869, 0.000], [0.000, 0.122, 0.500], [0.500, 0.260, 0.500], [0.000, 0.405, 0.500], [0.500, 0.501, 0.500], [0.000, 0.605, 0.500], [0.500, 0.758, 0.500], [0.000, 0.876, 0.500], [0.500, 0.986, 0.500], [0.226, 0.885, 0.218], [0.747, 0.228, 0.225], [0.222, 0.360, 0.230], [0.772, 0.760, 0.230], [0.241, 0.647, 0.237], [0.753, 0.996, 0.255], [0.743, 0.502, 0.255], [0.267, 0.127, 0.270], [0.733, 0.127, 0.730], [0.257, 0.502, 0.745], [0.247, 0.996, 0.745], [0.759, 0.647, 0.763], [0.228, 0.760, 0.770], [0.778, 0.360, 0.770], [0.253, 0.228, 0.775], [0.774, 0.885, 0.782], [0.000, 0.013, 0.000], [0.500, 0.106, 0.000], [0.000, 0.253, 0.000], [0.000, 0.741, 0.000]],
  "total_energy_ev_per_atom": -6.19
}

=====

# 12
{
  "formula": "ErPd6Au5",
  "functional": "GGA-PBE",
  "state": "optimized geometry",
  "cell": [[2.104, -6.228, 0.000], [2.104, 6.228, 0.000], [-0.014, 0.000, 7.793]],
  "species": ["Au", "Au", "Au", "Au", "Au", "Er", "Pd", "Pd", "Pd", "Pd", "Pd", "Pd"],
  "frac_coords": [[0.668, 0.332, 0.000], [0.332, 0.668, 0.000], [0.000, 0.000, 0.500], [0.664, 0.336, 0.500], [0.336, 0.664, 0.500], [0.000, 0.000, 0.000], [0.501, 0.501, 0.250], [0.832, 0.168, 0.252], [0.168, 0.832, 0.252], [0.832, 0.168, 0.748], [0.168, 0.832, 0.748], [0.499, 0.499, 0.750]],
  "e_form_ev_per_fu": -4.6
}